An optimized crystal structure of CrO, computed with PBE+U.

Summary:
Electronic total energy (eV per cell): -93.1

abc: 16.275 3.032 3.146
angles: 69.57 90.00 90.00
Each line ends with the local moment (μB).
Fractional coordinates of all 12 atoms:
Cr: 0.667 0.579 0.797  3.77
Cr: 0.000 0.896 0.810  3.80
Cr: 0.333 0.579 0.797  3.77
Cr: 0.500 0.102 0.192  3.80
Cr: 0.167 0.419 0.205  3.77
Cr: 0.833 0.419 0.205  3.77
O: 0.750 0.999 0.000  0.04
O: 0.584 0.117 0.686  -0.02
O: 0.416 0.117 0.686  -0.02
O: 0.250 0.999 0.000  0.04
O: 0.084 0.881 0.317  -0.02
O: 0.916 0.881 0.317  -0.02